Record 1
A plane-wave DFT calculation with PBE was carried out for K2Ta2O3F6 after structural relaxation.

The structure in CIF format:
```
data_K2Ta2O3F6
_chemical_formula_sum 'K8 Ta8 O12 F24'
_space_group_name_H-M_alt 'P 1'
_space_group_IT_number 1
_space_group_name_Hall 'P 1'
_cell_length_a 9.9173
_cell_length_b 5.4658
_cell_length_c 14.0315
_cell_angle_alpha 90.00
_cell_angle_beta 90.00
_cell_angle_gamma 90.00
loop_
_atom_site_label
_atom_site_fract_x
_atom_site_fract_y
_atom_site_fract_z
F1 0.6558 0.0025 0.0568
F2 0.6558 0.4975 0.0568
F3 0.3665 0.7500 0.1058
F4 0.2410 0.2500 0.2242
F5 0.0142 0.5013 0.2499
F6 0.0142 0.9987 0.2499
F7 0.5142 0.5013 0.2501
F8 0.5142 0.9987 0.2501
F9 0.7410 0.2500 0.2758
F10 0.8665 0.7500 0.3942
F11 0.1558 0.0025 0.4432
F12 0.1558 0.4975 0.4432
F13 0.8442 0.5025 0.5568
F14 0.8442 0.9975 0.5568
F15 0.1335 0.2500 0.6058
F16 0.2590 0.7500 0.7242
F17 0.4858 0.0013 0.7499
F18 0.4858 0.4987 0.7499
F19 0.9858 0.0013 0.7501
F20 0.9858 0.4987 0.7501
F21 0.7590 0.7500 0.7758
F22 0.6335 0.2500 0.8942
F23 0.3442 0.5025 0.9432
F24 0.3442 0.9975 0.9432
K1 0.4355 0.2500 0.0961
K2 0.7635 0.7500 0.2074
K3 0.2635 0.7500 0.2926
K4 0.9355 0.2500 0.4039
K5 0.0645 0.7500 0.5961
K6 0.7365 0.2500 0.7074
K7 0.2365 0.2500 0.7926
K8 0.5645 0.7500 0.9039
O1 0.1324 0.0019 0.0718
O2 0.1324 0.4981 0.0718
O3 0.8859 0.2500 0.1059
O4 0.3859 0.2500 0.3941
O5 0.6324 0.0019 0.4282
O6 0.6324 0.4981 0.4282
O7 0.3676 0.5019 0.5718
O8 0.3676 0.9981 0.5718
O9 0.6141 0.7500 0.6059
O10 0.1141 0.7500 0.8941
O11 0.8676 0.5019 0.9282
O12 0.8676 0.9981 0.9282
Ta1 0.2255 0.7500 0.0053
Ta2 0.0646 0.2500 0.1561
Ta3 0.5646 0.2500 0.3439
Ta4 0.7255 0.7500 0.4947
Ta5 0.2745 0.2500 0.5053
Ta6 0.4354 0.7500 0.6561
Ta7 0.9354 0.7500 0.8439
Ta8 0.7745 0.2500 0.9947
```

Final energy, eV/atom: -7.09

---

Record 2
A plane-wave DFT calculation with PBE was carried out for Y5ThBi6 after structural relaxation.

The structure in CIF format:
```
data_Y5ThBi6
_chemical_formula_sum 'Y5 Th1 Bi6'
_space_group_name_H-M_alt 'P 1'
_space_group_IT_number 1
_space_group_name_Hall 'P 1'
_cell_length_a 7.7834
_cell_length_b 7.7834
_cell_length_c 7.7885
_cell_angle_alpha 99.60
_cell_angle_beta 99.60
_cell_angle_gamma 119.98
loop_
_atom_site_label
_atom_site_fract_x
_atom_site_fract_y
_atom_site_fract_z
Bi1 0.7457 0.7457 0.2507
Bi2 0.4220 0.0847 0.2536
Bi3 0.0847 0.4220 0.2536
Bi4 0.9153 0.5780 0.7464
Bi5 0.5780 0.9153 0.7464
Bi6 0.2543 0.2543 0.7493
Th1 0.0000 0.0000 0.0000
Y1 0.6673 0.3327 0.0000
Y2 0.3327 0.6673 0.0000
Y3 0.8353 0.1647 0.5000
Y4 0.5000 0.5000 0.5000
Y5 0.1647 0.8353 0.5000
```

Final energy, eV/atom: -6.20